Computed, not measured: a relaxed MoIrF2 crystal at the GGA+U level of DFT.

extended XYZ file:
```
12
Lattice="2.7054 0.0000 0.0000 -1.3527 2.3430 0.0000 0.0000 0.0000 31.4838" Properties=species:S:1:pos:R:3 pbc="T T T"
Mo 0.0000 0.0000 0.0000
Mo 0.0000 1.5620 20.9892
Mo 1.3527 0.7810 10.4946
Ir 0.0000 0.0000 15.7419
Ir 0.0000 1.5620 5.2473
Ir 1.3527 0.7810 26.2365
F 0.0000 0.0000 12.0188
F 0.0000 0.0000 19.4650
F 0.0000 1.5620 1.5242
F 0.0000 1.5620 8.9704
F 1.3527 0.7810 22.5134
F 1.3527 0.7810 29.9596
```

Values from the calculation:
**DOS(E_F)**: 10.57 states/eV per cell
**Volume**: 199.6 Å³/cell
**Symmetry**: R-3m, No. 166
**E above lowest polymorph**: 0 meV per atom
**Size of the total moment**: 2.06 μB/cell

Computed, not measured: a relaxed MoIrNF2 crystal at the GGA+U level of DFT.

extended XYZ file:
```
5
Lattice="4.4997 0.0000 0.0000 0.0000 4.4997 0.0000 0.0000 0.0000 3.7065" Properties=species:S:1:pos:R:3 pbc="T T T"
Mo 0.0000 0.0000 0.0000
Ir 2.2498 2.2498 1.8533
N 2.2498 2.2498 0.0000
F 0.0000 2.2498 1.8533
F 2.2498 0.0000 1.8533
```

Values from the calculation:
**DOS(E_F)**: 2.04 states/eV per cell
**Volume**: 75.0 Å³/cell
**Symmetry**: P4/mmm, No. 123
**E above lowest polymorph**: 0 meV per atom
**Size of the total moment**: 4.72 μB/cell

Computed, not measured: a relaxed MoIrNF2 crystal at the GGA+U level of DFT.

extended XYZ file:
```
5
Lattice="4.1320 0.0000 0.0000 0.0000 4.1320 0.0000 0.0000 0.0000 4.1676" Properties=species:S:1:pos:R:3 pbc="T T T"
Mo 0.0000 0.0000 0.0000
Ir 2.0660 2.0660 2.0838
N 0.0000 0.0000 2.0838
F 0.0000 2.0660 0.0000
F 2.0660 0.0000 0.0000
```

Values from the calculation:
**DOS(E_F)**: 5.33 states/eV per cell
**Volume**: 71.2 Å³/cell
**Symmetry**: P4/mmm, No. 123
**E above lowest polymorph**: 202 meV per atom
**Size of the total moment**: 4.01 μB/cell